Na2SnPbF (PBE, relaxed); uncorrected formation energy = -4.91 eV/f.u.
1.0
-1.605 -0.811 -4.170
3.080 -3.292 -0.545
-3.690 -3.809 2.162
Sn Na F Pb
1 2 1 1
Cartesian
-1.108 -3.957 -1.276
-0.803 -0.406 -2.085
1.540 -1.646 -0.272
0.000 0.000 0.000
-1.845 -1.905 1.081

***

Zr2HIrPd (PBE, relaxed); E above lowest polymorph = 10 meV per atom
1.0
4.457 0.000 0.000
0.000 4.457 0.000
0.000 0.000 3.810
Ir Pd Zr H
1 1 2 1
Cartesian
0.000 0.000 1.905
2.229 2.229 1.905
0.000 2.229 0.000
2.229 0.000 0.000
0.000 0.000 0.000

***

The following is a PBE calculation of a geometry-optimized Ho2Sc8Cd structure, from Alexandria.

Geometry as POSCAR:
```
Ho2Sc8Cd
1.0
-5.026 0.815 1.251
-2.145 -6.693 -6.058
-1.122 -9.205 -0.315
Sc Ho Cd
8 2 1
Cartesian
-6.586 -12.557 -4.321
-1.707 -2.526 -0.801
-5.496 -9.886 -1.685
-2.956 -8.550 -3.214
-2.797 -5.197 -3.437
-5.338 -6.533 -1.908
-5.980 -8.698 -4.402
-2.314 -6.385 -0.720
-4.655 -3.834 -0.848
-3.638 -11.249 -4.273
0.000 0.000 0.000
```

***

The following is a PBE calculation of a geometry-optimized Pr5Pd2Pt structure, from Alexandria.

Geometry as POSCAR:
```
Pr5Pd2Pt
1.0
-5.953 -2.224 4.118
-1.574 -5.323 -5.150
8.205 -1.169 4.268
Pr Pd Pt
10 4 2
Cartesian
4.648 -1.336 3.656
-0.923 -3.099 1.613
-4.157 -5.082 2.829
1.414 -3.320 4.871
4.835 -3.634 0.407
-0.735 -5.396 -1.636
-3.969 -7.380 -0.420
-3.763 -3.774 -0.516
1.601 -5.617 1.622
0.000 0.000 0.000
-6.170 -5.289 0.337
-3.571 -5.453 -2.957
-3.956 -2.094 1.925
-1.357 -2.258 -1.369
-1.542 -6.245 1.360
2.221 -2.471 1.876
```

***

The following is a PBE calculation of a geometry-optimized Nd2Sm2YTm4 structure, from Alexandria.

Geometry as POSCAR:
```
Nd2Sm2YTm4
1.0
-0.313 1.615 -3.207
7.705 -5.407 -1.447
-8.409 -4.390 -1.390
Y Tm Nd Sm
1 4 2 2
Cartesian
0.000 0.000 0.000
-2.668 -0.842 -2.189
-0.972 -5.001 -4.448
1.651 -7.340 -3.856
-0.044 -3.181 -1.597
-3.344 -7.457 -3.428
2.327 -0.726 -2.617
-3.349 -4.261 -1.818
2.332 -3.922 -4.227
```

***

The following is a PBE calculation of a geometry-optimized UCoSnPt structure, from Alexandria.

Geometry as POSCAR:
```
UCoSnPt
1.0
-2.754 -2.491 2.925
0.214 -4.722 -0.001
1.908 -2.280 3.675
Sn Co U Pt
1 1 1 1
Cartesian
0.000 0.000 0.000
-0.158 -2.373 1.650
-0.316 -4.747 3.299
-0.474 -7.120 4.949
```

***

NaLi4Ag7 (PBE, relaxed); E above lowest polymorph = 0 meV per atom
1.0
5.543 1.348 1.140
4.084 5.954 2.659
-0.158 0.085 7.650
Ag Li Na
7 4 1
Cartesian
6.067 4.070 9.829
2.771 0.674 0.570
8.174 5.371 5.545
4.781 2.085 3.948
4.687 5.301 7.501
3.401 3.316 1.620
1.295 2.016 5.904
3.990 2.730 6.522
5.478 4.656 4.927
2.051 1.425 3.256
7.417 5.962 8.192
0.000 0.000 0.000

***

The following is a PBE calculation of a geometry-optimized CaTbGePt structure, from Alexandria.

Geometry as POSCAR:
```
CaTbGePt
1.0
5.018 0.000 0.000
2.509 4.346 0.000
2.509 1.449 4.097
Ca Pt Tb Ge
1 1 1 1
Cartesian
5.018 2.897 2.049
7.527 4.346 3.073
0.000 0.000 0.000
2.509 1.449 1.024
```

***

The following is a PBE calculation of a geometry-optimized PmThU structure, from Alexandria.

Geometry as POSCAR:
```
PmThU
1.0
3.628 0.000 0.000
0.000 5.856 -0.036
-1.814 -1.327 8.492
Th Pm U
2 2 2
Cartesian
1.814 3.080 6.286
0.000 1.450 2.170
1.814 4.406 1.061
0.000 0.123 7.395
1.814 0.165 4.472
0.000 4.364 3.984
```

***

The following is a PBE calculation of a geometry-optimized KRbSr2Pt structure, from Alexandria.

Geometry as POSCAR:
```
KRbSr2Pt
1.0
6.003 0.000 0.000
0.000 6.003 0.000
0.000 0.000 6.955
Rb Sr Pt K
1 2 1 1
Cartesian
0.000 0.000 3.478
3.002 0.000 0.000
0.000 3.002 0.000
0.000 0.000 0.000
3.002 3.002 3.478
```

***

The following is a PBE calculation of a geometry-optimized ErNbPd14 structure, from Alexandria.

Geometry as POSCAR:
```
ErNbPd14
1.0
5.694 -0.012 0.000
0.012 5.694 0.000
0.000 0.000 7.872
Pd Nb Er
14 1 1
Cartesian
3.595 3.580 1.973
0.684 0.681 5.899
4.986 2.125 0.000
0.690 3.587 1.973
2.140 2.131 0.000
0.684 0.681 1.973
4.993 4.971 0.000
3.590 0.674 1.973
0.690 3.587 5.900
4.986 2.125 3.936
2.146 4.977 0.000
3.590 0.674 5.900
2.146 4.977 3.936
3.595 3.580 5.899
4.992 4.971 3.936
2.140 2.131 3.936
```

***

PaPdPt6 (PBE, relaxed); E above lowest polymorph = 59 meV per atom
1.0
-4.017 -1.944 1.583
-1.163 -1.906 -5.293
3.015 -3.274 3.632
Pt Pa Pd
6 1 1
Cartesian
-1.332 -4.600 -1.946
0.585 -2.478 -1.559
1.159 -1.532 1.061
-2.239 -2.063 -1.133
2.078 -4.101 0.237
-2.810 -2.996 -3.729
2.666 -3.159 2.886
-0.733 -3.676 0.709

***

The following is a PBE calculation of a geometry-optimized CaAcAs2Pd4 structure, from Alexandria.

Geometry as POSCAR:
```
CaAcAs2Pd4
1.0
4.663 0.000 0.000
0.000 4.663 0.000
0.000 0.000 8.328
Pd Ca Ac As
4 1 1 2
Cartesian
2.332 0.000 6.278
2.332 0.000 2.051
0.000 2.332 2.051
0.000 2.332 6.278
0.000 0.000 4.164
0.000 0.000 0.000
2.332 2.332 2.857
2.332 2.332 5.472
```

***

KTcOs2 (PBE, relaxed); E above lowest polymorph = 184 meV per atom
1.0
2.700 0.000 0.000
0.000 3.836 0.000
0.000 0.000 7.958
Tc Os K
1 2 1
Cartesian
1.350 1.918 1.989
0.000 0.000 0.726
0.000 0.000 3.253
1.350 1.918 5.968

***

Tl2NiBr (PBE, relaxed); E above lowest polymorph = 131 meV per atom; uncorrected formation energy = 0.39 eV/f.u.
1.0
3.481 0.000 0.000
0.000 3.481 0.000
0.000 0.000 7.824
Br Ni Tl
1 1 2
Cartesian
1.741 1.741 1.956
1.741 1.741 5.868
0.000 0.000 7.460
0.000 0.000 4.276

***

The following is a PBE calculation of a geometry-optimized CsCd8Ag4 structure, from Alexandria.

Geometry as POSCAR:
```
CsCd8Ag4
1.0
-1.534 -3.013 4.493
6.330 -2.203 4.202
-1.258 4.697 6.240
Cd Ag Cs
8 4 1
Cartesian
3.799 -2.105 6.922
1.432 2.251 5.517
0.808 -1.061 6.602
2.730 0.541 8.333
0.769 -0.226 3.630
3.640 0.243 4.924
-0.260 1.586 8.013
2.769 -0.293 11.305
3.165 -1.102 2.101
-1.396 0.842 5.367
-0.629 2.349 3.120
2.398 -2.608 4.348
0.000 0.000 0.000
```

***

The following is a PBE calculation of a geometry-optimized ZnCoAg2 structure, from Alexandria.

Geometry as POSCAR:
```
ZnCoAg2
1.0
-0.927 -1.221 4.301
-0.048 -2.621 -0.754
4.861 -0.794 0.822
Zn Ag Co
1 2 1
Cartesian
3.146 -3.171 2.201
-0.037 -2.605 -0.748
2.395 -1.723 0.027
0.740 -1.464 2.167
```

***

Si2NiAu (PBE, relaxed); uncorrected formation energy = -0.07 eV/f.u.
1.0
4.430 0.000 0.000
0.000 3.178 0.085
0.000 0.806 4.381
Si Au Ni
2 1 1
Cartesian
0.000 3.222 4.281
2.215 1.347 0.955
0.000 1.581 2.251
2.215 3.810 3.678

***

LaPmScCd (PBE, relaxed); E above lowest polymorph = 0 meV per atom
1.0
3.581 0.000 0.000
0.000 3.581 0.000
0.000 0.000 9.103
Sc La Pm Cd
1 1 1 1
Cartesian
1.791 1.791 3.204
1.791 1.791 7.251
0.000 0.000 0.894
0.000 0.000 4.897

***

KRe3 (PBE, relaxed); E above lowest polymorph = 183 meV per atom
1.0
2.712 0.000 0.000
0.000 3.895 0.000
0.000 0.000 8.264
Re K
3 1
Cartesian
1.356 1.947 2.859
1.356 1.947 5.405
0.000 0.000 4.132
0.000 0.000 0.000

***

no.,E_tot (eV/atom)
1,-3.43
2,-7.45
3,-5.40
4,-5.66
5,-4.81
6,-7.40
7,-2.54
8,-5.14
9,-7.58
10,-2.52
11,-5.80
12,-6.92
13,-5.20
14,-7.61
15,-2.95
16,-1.52
17,-3.26
18,-4.99
19,-4.36
20,-8.70